Entry 1:
Density functional theory data (PBE-GGA) for a relaxed PmPr6Zn2 crystal.

a = 12.929 Å, b = 3.778 Å, c = 12.248 Å
α = 90.00°, β = 109.47°, γ = 90.00°
Space group C2/m (No. 12)
Asymmetric unit:
Pm 0.000 0.000 0.000
Pr 0.028 0.000 0.327
Pr 0.188 0.500 0.591
Pr 0.188 0.500 0.875
Zn 0.147 0.500 0.198

Calculated values
Energy in eV/atom: -4.128
E_form in meV per atom: -130.6

Entry 2:
Density functional theory data (PBE-GGA) for a relaxed Pm2PrZn2 crystal.

a = 3.726 Å, b = 5.316 Å, c = 13.742 Å
α = 90.00°, β = 97.81°, γ = 90.00°
Space group P2_1/m (No. 11)
Asymmetric unit:
Pm 0.046 0.250 0.093
Pm 0.232 0.250 0.465
Pr 0.143 0.750 0.283
Zn 0.359 0.750 0.720
Zn 0.453 0.250 0.906

Calculated values
Relative energy among the computed polymorphs in meV/atom: 0
Energy in eV/atom: -3.604
E_form in meV per atom: -238.6

Entry 3:
Density functional theory data (PBE-GGA) for a relaxed Pm4PrZn4 crystal.

a = 9.712 Å, b = 9.712 Å, c = 5.220 Å
α = 90.00°, β = 90.00°, γ = 90.00°
Space group I4/m (No. 87)
Asymmetric unit:
Pm 0.110 0.345 0.000
Pr 0.000 0.000 0.000
Zn 0.075 0.178 0.500

Calculated values
Energy in eV/atom: -3.347
E_form in meV per atom: -138.4

Entry 4:
Density functional theory data (PBE-GGA) for a relaxed Pm2Pr8Zn crystal.

a = 18.204 Å, b = 5.753 Å, c = 7.624 Å
α = 90.00°, β = 109.38°, γ = 90.00°
Space group C2/m (No. 12)
Asymmetric unit:
Pm 0.185 0.000 0.168
Pr 0.012 0.000 0.276
Pr 0.103 0.500 0.924
Pr 0.156 0.500 0.436
Pr 0.186 0.000 0.729
Zn 0.000 0.500 0.500

Calculated values
Relative energy among the computed polymorphs in meV/atom: 60
Energy in eV/atom: -4.408
E_form in meV per atom: 47.9

Entry 5:
Density functional theory data (PBE-GGA) for a relaxed Pm8Pr2Zn crystal.

a = 19.464 Å, b = 5.708 Å, c = 6.571 Å
α = 90.00°, β = 93.43°, γ = 90.00°
Space group C2/m (No. 12)
Asymmetric unit:
Pm 0.039 0.000 0.252
Pm 0.078 0.500 0.609
Pm 0.154 0.000 0.810
Pm 0.154 0.500 0.120
Pr 0.237 0.000 0.331
Zn 0.000 0.500 0.000

Calculated values
Relative energy among the computed polymorphs in meV/atom: 0
Energy in eV/atom: -4.449
E_form in meV per atom: -8.7

Entry 6:
Density functional theory data (PBE-GGA) for a relaxed Pm2PrZn4 crystal.

a = 5.298 Å, b = 5.298 Å, c = 12.834 Å
α = 90.00°, β = 90.00°, γ = 90.00°
Space group I4/mmm (No. 139)
Asymmetric unit:
Pm 0.000 0.000 0.219
Pr 0.000 0.000 0.500
Zn 0.000 0.500 0.110

Calculated values
Energy in eV/atom: -2.904
E_form in meV per atom: -136.0

Entry 7:
Density functional theory data (PBE-GGA) for a relaxed PmPr3Zn crystal.

a = 30.075 Å, b = 3.743 Å, c = 5.665 Å
α = 90.00°, β = 90.09°, γ = 90.00°
Space group C2/m (No. 12)
Asymmetric unit:
Pm 0.232 0.000 0.249
Pr 0.044 0.500 0.742
Pr 0.124 0.500 0.248
Pr 0.158 0.000 0.750
Zn 0.040 0.000 0.234

Calculated values
Relative energy among the computed polymorphs in meV/atom: 0
Energy in eV/atom: -4.162
E_form in meV per atom: -89.0

Entry 8:
Density functional theory data (PBE-GGA) for a relaxed Pm2PrZn crystal.

a = 4.869 Å, b = 4.869 Å, c = 4.887 Å
α = 90.00°, β = 90.00°, γ = 90.00°
Space group P4/mmm (No. 123)
Asymmetric unit:
Pm 0.000 0.500 0.000
Pr 0.000 0.000 0.500
Zn 0.500 0.500 0.500

Calculated values
Relative energy among the computed polymorphs in meV/atom: 118
Energy in eV/atom: -3.926
E_form in meV per atom: -37.0